A plane-wave DFT calculation with PBE was carried out for a geometry-optimized Ti5NiOs4 structure.

Summary:
Magnetic moment in Bohr magnetons per cell: 0.27
Crystal system: tetragonal
Total DFT energy (no corrections) in eV/cell: -96.49
Mass density in g/cm3: 12.04
Space group: P4/mmm

a b c (Å): 3.098 3.098 15.220
angles (deg): 90.00 90.00 90.00
Atoms (fractional coordinates):
1 Ti 0.000 0.000 0.000
2 Ti 0.000 0.000 0.203
3 Ti 0.000 0.000 0.405
4 Ti 0.000 0.000 0.595
5 Ti 0.000 0.000 0.797
6 Ni 0.500 0.500 0.500
7 Os 0.500 0.500 0.102
8 Os 0.500 0.500 0.306
9 Os 0.500 0.500 0.694
10 Os 0.500 0.500 0.898

A plane-wave DFT calculation with PBE was carried out for a geometry-optimized LaTc2Ru structure.

Summary:
Magnetic moment in Bohr magnetons per cell: 1.16
Crystal system: tetragonal
Total DFT energy (no corrections) in eV/cell: -33.21
Mass density in g/cm3: 10.20
Space group: I-4m2

a b c (Å): 4.650 4.650 4.650
angles (deg): 120.09 120.09 89.84
Atoms (fractional coordinates):
1 La 0.000 0.000 0.000
2 Tc 0.500 0.500 0.000
3 Tc 0.750 0.250 0.500
4 Ru 0.250 0.750 0.500

A plane-wave DFT calculation with PBE was carried out for a geometry-optimized Nd2GaAgSe5 structure.

Summary:
Magnetic moment in Bohr magnetons per cell: 0.00
Crystal system: orthorhombic
Total DFT energy (no corrections) in eV/cell: -87.20
Mass density in g/cm3: 6.42
Space group: Cmc2_1
ΔE_f (raw) in kJ/mol of atoms: -115.4

a b c (Å): 9.480 9.480 11.880
angles (deg): 90.00 90.00 155.36
Atoms (fractional coordinates):
1 Nd 0.118 0.882 0.500
2 Nd 0.127 0.873 0.117
3 Nd 0.873 0.127 0.617
4 Nd 0.882 0.118 0.000
5 Ga 0.431 0.569 0.273
6 Ga 0.569 0.431 0.773
7 Ag 0.225 0.775 0.841
8 Ag 0.775 0.225 0.341
9 Se 0.041 0.959 0.885
10 Se 0.288 0.712 0.498
11 Se 0.318 0.682 0.170
12 Se 0.367 0.633 0.813
13 Se 0.498 0.502 0.095
14 Se 0.502 0.498 0.595
15 Se 0.633 0.367 0.313
16 Se 0.682 0.318 0.670
17 Se 0.712 0.288 0.998
18 Se 0.959 0.041 0.385

A plane-wave DFT calculation with PBE was carried out for a geometry-optimized ReGeRu2 structure.

Summary:
Magnetic moment in Bohr magnetons per cell: 0.00
Crystal system: trigonal
Total DFT energy (no corrections) in eV/cell: -35.55
Mass density in g/cm3: 13.22
Space group: R-3m

a b c (Å): 8.626 8.626 8.626
angles (deg): 18.74 18.74 18.74
Atoms (fractional coordinates):
1 Re 0.000 0.000 0.000
2 Ge 0.500 0.500 0.500
3 Ru 0.248 0.248 0.248
4 Ru 0.752 0.752 0.752